Material: CeThB8
Method: DFT, PBEsol
State: relaxed

Lattice parameters (Å, degrees): 4.0680 7.1713 7.1713 90.59 90.00 90.00
Last column: nearest neighbours and their distance in Å.
Element x y z (fractional)
B 0.5000 0.6755 0.0406  5 B 1.72-1.84
B 0.7981 0.0000 0.5000  5 B 1.64-1.77
B 0.5000 0.9594 0.3245  5 B 1.72-1.84
B 0.5000 0.1763 0.4629  5 B 1.73-1.84
B 0.5000 0.4629 0.1763  5 B 1.73-1.84
B 0.5000 0.5884 0.5884  3 B 1.73-1.78
B 0.5000 0.0882 0.9118  3 B 1.72-1.80
B 0.5000 0.9118 0.0882  3 B 1.72-1.80
B 0.2019 0.5000 0.0000  5 B 1.64-1.77
B 0.2019 0.0000 0.5000  5 B 1.64-1.77
B 0.5000 0.8237 0.5371  5 B 1.73-1.84
B 0.5000 0.3245 0.9594  5 B 1.72-1.84
B 0.5000 0.0406 0.6755  5 B 1.72-1.84
B 0.5000 0.5371 0.8237  5 B 1.73-1.84
B 0.5000 0.4116 0.4116  3 B 1.73-1.78
B 0.7981 0.5000 0.0000  5 B 1.64-1.77
Ce 0.0000 0.3134 0.6866  16 B 2.73-2.92
Ce 0.0000 0.6866 0.3134  16 B 2.73-2.92
Th 0.0000 0.1869 0.1869  18 B 2.75-3.05
Th 0.0000 0.8131 0.8131  18 B 2.75-3.05

Uncorrected energy = -7.7455 eV per atom
Space-group type = Cmmm (65)
M_tot = 0.00 μB/cell
Formation energy from the elements = -639 kJ/mol of formula units

***

Material: BCl3
Method: DFT, PBEsol
State: relaxed

Lattice parameters (Å, degrees): 6.2431 6.2431 6.8965 90.00 90.00 120.00
Last column: nearest neighbours and their distance in Å.
Element x y z (fractional)
B 0.3333 0.6667 0.2500  3 Cl 1.74
B 0.6667 0.3333 0.7500  3 Cl 1.74
Cl 0.3152 0.3796 0.2500  1 B 1.74
Cl 0.3796 0.0644 0.7500  1 B 1.74
Cl 0.6204 0.9356 0.2500  1 B 1.74
Cl 0.9356 0.3152 0.7500  1 B 1.74
Cl 0.0644 0.6848 0.2500  1 B 1.74
Cl 0.6848 0.6204 0.7500  1 B 1.74

Uncorrected energy = -4.1901 eV per atom
Space-group type = P6_3/m (176)
M_tot = 0.00 μB/cell

***

Material: GaCoB2Cl
Method: DFT, PBEsol
State: relaxed

Lattice parameters (Å, degrees): 3.8768 3.8768 5.3052 90.00 90.00 90.00
Last column: nearest neighbours and their distance in Å.
Element x y z (fractional)
Cl 0.0000 0.0000 0.5000  2 Ga 2.65, 4 Co 2.74
Co 0.5000 0.5000 0.5000  4 Cl 2.74
B 0.0000 0.5000 0.0000  2 Ga 1.94
B 0.5000 0.0000 0.0000  2 Ga 1.94
Ga 0.0000 0.0000 0.0000  4 B 1.94

Uncorrected energy = -3.7693 eV per atom
Space-group type = P4/mmm (123)
M_tot = 1.90 μB/cell

***

Material: La2CoBCl
Method: DFT, PBEsol
State: relaxed

Lattice parameters (Å, degrees): 3.8205 5.2076 5.2076 90.00 90.00 90.00
Last column: nearest neighbours and their distance in Å.
Element x y z (fractional)
Co 0.0000 0.0000 0.0000  2 B 1.91
B 0.5000 0.0000 0.0000  2 Co 1.91
La 0.0000 0.0000 0.5000  2 Co 2.60
La 0.0000 0.5000 0.0000  2 Co 2.60
Cl 0.5000 0.5000 0.5000  8 La 3.23

Uncorrected energy = -6.0729 eV per atom
Space-group type = P4/mmm (123)
M_tot = 0.00 μB/cell

***

Material: Co3B7ClO13
Method: DFT, PBEsol
State: relaxed

Lattice parameters (Å, degrees): 8.5186 8.5186 8.5284 60.04 60.04 60.00
Last column: nearest neighbours and their distance in Å.
Element x y z (fractional)
O 0.2460 0.5668 0.3863  2 B 1.44-1.46
O 0.5576 0.2347 0.8087  2 B 1.38-1.50
O 0.5134 0.5134 0.4598  3 B 1.55
O 0.8990 0.7347 0.3087  2 B 1.38-1.50
O 0.7881 0.4048 0.5572  2 B 1.45-1.46
O 0.9048 0.2881 0.0572  2 B 1.45-1.46
O 0.0576 0.8990 0.3087  2 B 1.38-1.50
O 0.4048 0.2499 0.5572  2 B 1.45-1.46
O 0.8009 0.2460 0.3863  2 B 1.44-1.46
O 0.7460 0.3009 0.8863  2 B 1.44-1.46
O 0.3934 0.8128 0.2269  2 B 1.46-1.47
O 0.0668 0.7460 0.8863  2 B 1.44-1.46
O 0.3990 0.5576 0.8087  2 B 1.38-1.50
O 0.7347 0.0576 0.3087  2 B 1.38-1.50
O 0.3128 0.8934 0.7269  2 B 1.46-1.47
O 0.7499 0.9048 0.0572  2 B 1.45-1.46
O 0.0669 0.3128 0.7269  2 B 1.46-1.47
O 0.5669 0.3934 0.2269  2 B 1.46-1.47
O 0.2881 0.7499 0.0572  2 B 1.45-1.46
O 0.5668 0.8009 0.3863  2 B 1.44-1.46
O 0.0134 0.0134 0.9598  3 B 1.55
O 0.8934 0.0669 0.7269  2 B 1.46-1.47
O 0.8128 0.5669 0.2269  2 B 1.46-1.47
O 0.2347 0.3990 0.8087  2 B 1.38-1.50
O 0.2499 0.7881 0.5572  2 B 1.45-1.46
O 0.3009 0.0668 0.8863  2 B 1.44-1.46
Co 0.9675 0.5304 0.9706  4 O 2.00-2.07
Co 0.0315 0.0304 0.4706  4 O 2.00-2.07
Co 0.5304 0.5315 0.9706  4 O 2.00-2.07
Co 0.0304 0.4675 0.4706  4 O 2.00-2.07
Co 0.4675 0.0315 0.4706  4 O 2.00-2.07
Co 0.5315 0.9675 0.9706  4 O 2.00-2.07
B 0.7551 0.7545 0.2418  4 O 1.46-1.50
B 0.2551 0.7485 0.7418  4 O 1.46-1.50
B 0.4283 0.4287 0.4073  4 O 1.44-1.55
B 0.9002 0.9002 0.2995  3 O 1.38
B 0.9283 0.2357 0.9073  4 O 1.44-1.55
B 0.2545 0.2551 0.7418  4 O 1.46-1.50
B 0.7357 0.4283 0.4073  4 O 1.44-1.55
B 0.4287 0.7357 0.4073  4 O 1.44-1.55
B 0.4002 0.4002 0.7995  3 O 1.38
B 0.2357 0.9287 0.9073  4 O 1.44-1.55
B 0.2485 0.7551 0.2418  4 O 1.46-1.50
B 0.7545 0.2485 0.2418  4 O 1.46-1.50
B 0.9287 0.9283 0.9073  4 O 1.44-1.55
B 0.7485 0.2545 0.7418  4 O 1.46-1.50
Cl 0.7289 0.7289 0.8133  3 Co 2.41
Cl 0.2289 0.2289 0.3133  3 Co 2.41

Uncorrected energy = -7.8944 eV per atom
Space-group type = R3c (161)
M_tot = 18.00 μB/cell

***

Material: CoBS2Cl
Method: DFT, PBEsol
State: relaxed

Lattice parameters (Å, degrees): 4.0541 4.0541 4.3572 90.00 90.00 90.00
Last column: nearest neighbours and their distance in Å.
Element x y z (fractional)
Cl 0.0000 0.0000 0.5000  2 B 2.18
Co 0.5000 0.5000 0.5000  4 Cl 2.87, 8 S 2.98
B 0.0000 0.0000 0.0000  4 S 2.03, 2 Cl 2.18
S 0.5000 0.0000 0.0000  2 B 2.03
S 0.0000 0.5000 0.0000  2 B 2.03

Uncorrected energy = -4.2894 eV per atom
Space-group type = P4/mmm (123)
M_tot = 2.83 μB/cell

***

Material: Cr3B7ClO13
Method: DFT, PBEsol
State: relaxed

Lattice parameters (Å, degrees): 8.5369 8.5369 8.5369 60.00 60.00 60.00
Last column: nearest neighbours and their distance in Å.
Element x y z (fractional)
O 0.7595 0.6002 0.2046  2 B 1.43-1.47
O 0.5000 0.5000 0.5000  4 B 1.67
O 0.6002 0.4358 0.2046  2 B 1.43-1.47
O 0.2046 0.4358 0.7595  2 B 1.43-1.47
O 0.7046 0.9358 0.1002  2 B 1.43-1.47
O 0.4358 0.7595 0.2046  2 B 1.43-1.47
O 0.4358 0.6002 0.7595  2 B 1.43-1.47
O 0.6002 0.2046 0.7595  2 B 1.43-1.47
O 0.7046 0.2595 0.9358  2 B 1.43-1.47
O 0.2046 0.7595 0.6002  2 B 1.43-1.47
O 0.1002 0.2595 0.7046  2 B 1.43-1.47
O 0.6002 0.7595 0.4358  2 B 1.43-1.47
O 0.9358 0.2595 0.1002  2 B 1.43-1.47
O 0.2046 0.6002 0.4358  2 B 1.43-1.47
O 0.7046 0.1002 0.2595  2 B 1.43-1.47
O 0.7595 0.2046 0.4358  2 B 1.43-1.47
O 0.1002 0.7046 0.9358  2 B 1.43-1.47
O 0.2595 0.1002 0.9358  2 B 1.43-1.47
O 0.4358 0.2046 0.6002  2 B 1.43-1.47
O 0.2595 0.9358 0.7046  2 B 1.43-1.47
O 0.0000 0.0000 0.0000  4 B 1.67
O 0.1002 0.9358 0.2595  2 B 1.43-1.47
O 0.7595 0.4358 0.6002  2 B 1.43-1.47
O 0.9358 0.7046 0.2595  2 B 1.43-1.47
O 0.2595 0.7046 0.1002  2 B 1.43-1.47
O 0.9358 0.1002 0.7046  2 B 1.43-1.47
Cr 0.5000 0.5000 0.0000  4 O 2.04
Cr 0.0000 0.5000 0.5000  4 O 2.04
Cr 0.5000 0.0000 0.5000  4 O 2.04
Cr 0.5000 0.0000 0.0000  4 O 2.04
Cr 0.0000 0.0000 0.5000  4 O 2.04
Cr 0.0000 0.5000 0.0000  4 O 2.04
B 0.2500 0.2500 0.7500  4 O 1.47
B 0.5801 0.5801 0.2598  3 O 1.43
B 0.5801 0.2598 0.5801  3 O 1.43
B 0.2500 0.7500 0.7500  4 O 1.47
B 0.7500 0.2500 0.7500  4 O 1.47
B 0.0801 0.0801 0.7598  3 O 1.43
B 0.2598 0.5801 0.5801  3 O 1.43
B 0.7500 0.2500 0.2500  4 O 1.47
B 0.0801 0.7598 0.0801  3 O 1.43
B 0.2500 0.7500 0.2500  4 O 1.47
B 0.7500 0.7500 0.2500  4 O 1.47
B 0.0801 0.0801 0.0801  3 O 1.43
B 0.5801 0.5801 0.5801  3 O 1.43
B 0.7598 0.0801 0.0801  3 O 1.43
Cl 0.7500 0.7500 0.7500  6 Cr 3.02
Cl 0.2500 0.2500 0.2500  6 Cr 3.02

Uncorrected energy = -8.4065 eV per atom
Space-group type = F-43c (219)
M_tot = 24.00 μB/cell

***

Material: CsB6Cl6
Method: DFT, PBEsol
State: relaxed

Lattice parameters (Å, degrees): 9.5019 9.5019 16.2647 73.02 73.02 60.00
Last column: nearest neighbours and their distance in Å.
Element x y z (fractional)
B 0.3470 0.6876 0.5209  5 B 1.78-1.79, 1 Cl 1.79
B 0.1974 0.8542 0.9788  5 B 1.78-1.79, 1 Cl 1.79
B 0.4392 0.6497 0.4121  5 B 1.78-1.79, 1 Cl 1.79
B 0.8753 0.9473 0.0882  5 B 1.78-1.79, 1 Cl 1.78
B 0.0892 0.8753 0.0882  5 B 1.78-1.79, 1 Cl 1.78
B 0.5009 0.5608 0.5879  5 B 1.78-1.79, 1 Cl 1.79
B 0.9473 0.0892 0.0882  5 B 1.78-1.79, 1 Cl 1.78
B 0.0527 0.9108 0.9118  5 B 1.78-1.79, 1 Cl 1.78
B 0.4991 0.4392 0.4121  5 B 1.78-1.79, 1 Cl 1.79
B 0.3503 0.5009 0.5879  5 B 1.78-1.79, 1 Cl 1.79
B 0.8542 0.9696 0.9788  5 B 1.78-1.79, 1 Cl 1.79
B 0.9108 0.1247 0.9118  5 B 1.78-1.79, 1 Cl 1.78
B 0.6876 0.4445 0.5209  5 B 1.78-1.79, 1 Cl 1.79
B 0.6497 0.4991 0.4121  5 B 1.78-1.79, 1 Cl 1.79
B 0.3124 0.5555 0.4791  5 B 1.78-1.79, 1 Cl 1.79
B 0.1458 0.0304 0.0212  5 B 1.78-1.79, 1 Cl 1.79
B 0.1247 0.0527 0.9118  5 B 1.78-1.79, 1 Cl 1.78
B 0.0304 0.8026 0.0212  5 B 1.78-1.79, 1 Cl 1.79
B 0.9696 0.1974 0.9788  5 B 1.78-1.79, 1 Cl 1.79
B 0.5555 0.6530 0.4791  5 B 1.78-1.79, 1 Cl 1.79
B 0.6530 0.3124 0.4791  5 B 1.78-1.79, 1 Cl 1.79
B 0.5608 0.3503 0.5879  5 B 1.78-1.79, 1 Cl 1.79
B 0.4445 0.3470 0.5209  5 B 1.78-1.79, 1 Cl 1.79
B 0.8026 0.1458 0.0212  5 B 1.78-1.79, 1 Cl 1.79
Cl 0.8831 0.3875 0.5449  1 B 1.79
Cl 0.8073 0.4981 0.3192  1 B 1.79
Cl 0.3875 0.1845 0.5449  1 B 1.79
Cl 0.1927 0.5019 0.6808  1 B 1.79
Cl 0.7008 0.9384 0.9546  1 B 1.79
Cl 0.5939 0.2992 0.0454  1 B 1.79
Cl 0.5019 0.6246 0.6808  1 B 1.79
Cl 0.1075 0.8159 0.8199  1 B 1.78
Cl 0.7433 0.8925 0.1801  1 B 1.78
Cl 0.3754 0.8073 0.3192  1 B 1.79
Cl 0.2567 0.1075 0.8199  1 B 1.78
Cl 0.1841 0.7433 0.1801  1 B 1.78
Cl 0.4981 0.3754 0.3192  1 B 1.79
Cl 0.2992 0.0616 0.0454  1 B 1.79
Cl 0.1845 0.8831 0.5449  1 B 1.79
Cl 0.4061 0.7008 0.9546  1 B 1.79
Cl 0.8925 0.1841 0.1801  1 B 1.78
Cl 0.8155 0.1169 0.4551  1 B 1.79
Cl 0.8159 0.2567 0.8199  1 B 1.78
Cl 0.0616 0.5939 0.0454  1 B 1.79
Cl 0.9384 0.4061 0.9546  1 B 1.79
Cl 0.6246 0.1927 0.6808  1 B 1.79
Cl 0.6125 0.8155 0.4551  1 B 1.79
Cl 0.1169 0.6125 0.4551  1 B 1.79
Cs 0.2086 0.2086 0.3742  6 Cl 3.56-3.60
Cs 0.3734 0.3734 0.8799  12 Cl 3.58-3.83
Cs 0.7914 0.7914 0.6258  6 Cl 3.56-3.60
Cs 0.6266 0.6266 0.1201  12 Cl 3.58-3.83

Uncorrected energy = -5.1989 eV per atom
Space-group type = R-3 (148)
M_tot = 0.00 μB/cell

***

Material: Cs3BCl
Method: DFT, PBEsol
State: relaxed

Lattice parameters (Å, degrees): 6.4185 6.4185 6.4185 90.00 90.00 90.00
Last column: nearest neighbours and their distance in Å.
Element x y z (fractional)
B 0.5000 0.5000 0.5000  12 Cs 4.54
Cs 0.0000 0.5000 0.0000  2 Cl 3.21
Cs 0.0000 0.0000 0.5000  2 Cl 3.21
Cs 0.5000 0.0000 0.0000  2 Cl 3.21
Cl 0.0000 0.0000 0.0000  6 Cs 3.21

Uncorrected energy = -2.2049 eV per atom
Space-group type = Pm-3m (221)
M_tot = 2.96 μB/cell

***

Material: Cs3B12H12Cl
Method: DFT, PBEsol
State: relaxed

Lattice parameters (Å, degrees): 7.0252 7.0252 7.0252 92.77 92.77 92.77
Last column: nearest neighbours and their distance in Å.
Element x y z (fractional)
H 0.0981 0.3984 0.0981  1 B 1.21
H 0.2098 0.2098 0.7257  1 B 1.21
H 0.9019 0.9019 0.6016  1 B 1.21
H 0.6016 0.9019 0.9019  1 B 1.21
H 0.2098 0.7257 0.2098  1 B 1.21
H 0.0981 0.0981 0.3984  1 B 1.21
H 0.7257 0.2098 0.2098  1 B 1.21
H 0.2743 0.7902 0.7902  1 B 1.21
H 0.3984 0.0981 0.0981  1 B 1.21
H 0.7902 0.2743 0.7902  1 B 1.21
H 0.9019 0.6016 0.9019  1 B 1.21
H 0.7902 0.7902 0.2743  1 B 1.21
Cs 0.5000 0.0000 0.5000  10 H 3.00-3.30
Cs 0.5000 0.5000 0.0000  10 H 3.00-3.30
Cs 0.0000 0.5000 0.5000  10 H 3.00-3.30
B 0.8785 0.1604 0.8785  1 H 1.21
B 0.8396 0.1215 0.1215  1 H 1.21
B 0.0578 0.0578 0.2318  1 H 1.21
B 0.0578 0.2318 0.0578  1 H 1.21
B 0.9422 0.7682 0.9422  1 H 1.21
B 0.8785 0.8785 0.1604  1 H 1.21
B 0.1604 0.8785 0.8785  1 H 1.21
B 0.2318 0.0578 0.0578  1 H 1.21
B 0.1215 0.1215 0.8396  1 H 1.21
B 0.9422 0.9422 0.7682  1 H 1.21
B 0.7682 0.9422 0.9422  1 H 1.21
B 0.1215 0.8396 0.1215  1 H 1.21
Cl 0.5000 0.5000 0.5000  6 H 3.32, 6 Cs 3.51

Uncorrected energy = -5.0857 eV per atom
Space-group type = R-3m (166)
M_tot = 0.00 μB/cell

***

Material: Cu2BCl
Method: DFT, PBEsol
State: relaxed

Lattice parameters (Å, degrees): 4.1284 4.1284 4.1284 60.00 60.00 60.00
Last column: nearest neighbours and their distance in Å.
Element x y z (fractional)
Cl 0.5000 0.5000 0.5000  8 Cu 2.53
Cu 0.2500 0.2500 0.2500  4 Cl 2.53, 4 B 2.53
Cu 0.7500 0.7500 0.7500  4 Cl 2.53, 4 B 2.53
B 0.0000 0.0000 0.0000  8 Cu 2.53

Uncorrected energy = -3.3522 eV per atom
Space-group type = Fm-3m (225)
M_tot = 0.00 μB/cell

***

Material: CuBCl3
Method: DFT, PBEsol
State: relaxed

Lattice parameters (Å, degrees): 4.2888 4.2888 4.2888 90.00 90.00 90.00
Last column: nearest neighbours and their distance in Å.
Element x y z (fractional)
Cl 0.0000 0.0000 0.5000  2 B 2.14
Cl 0.5000 0.0000 0.0000  2 B 2.14
Cl 0.0000 0.5000 0.0000  2 B 2.14
B 0.0000 0.0000 0.0000  6 Cl 2.14
Cu 0.5000 0.5000 0.5000  12 Cl 3.03

Uncorrected energy = -3.1028 eV per atom
Space-group type = Pm-3m (221)
M_tot = 0.00 μB/cell